## A
La2Tl2Pd, optimized geometry, DFT GGA-PBE; space group = No. 127; spin magnetization = 0.00 μB/cell
1.0
7.595 0.000 0.000
0.000 7.595 0.000
0.000 0.000 4.931
La Tl Pd
4 4 2
Direct
0.156 0.344 0.000 La
0.344 0.844 0.000 La
0.656 0.156 0.000 La
0.844 0.656 0.000 La
0.149 0.649 0.500 Tl
0.351 0.149 0.500 Tl
0.649 0.851 0.500 Tl
0.851 0.351 0.500 Tl
0.000 0.000 0.500 Pd
0.500 0.500 0.500 Pd

## B
La2Tl2Pd, optimized geometry, DFT GGA-PBE; space group = No. 127; spin magnetization = 0.00 μB/cell
1.0
7.650 0.000 0.000
0.000 7.650 0.000
0.000 0.000 5.329
La Tl Pd
4 4 2
Direct
0.158 0.342 0.000 La
0.342 0.842 0.000 La
0.658 0.158 0.000 La
0.842 0.658 0.000 La
0.154 0.654 0.500 Tl
0.346 0.154 0.500 Tl
0.654 0.846 0.500 Tl
0.846 0.346 0.500 Tl
0.000 0.000 0.000 Pd
0.500 0.500 0.000 Pd

The least stable of the structures above is B, whereas A is the most stable.